A relaxed structure of RePt2, computed with PBE.

```
RePt2
1.0
1.4050 5.1495 0.0061
-1.4050 5.1495 0.0061
0.0000 1.7050 6.3702
Re Pt
2 4
direct
0.2826 0.2826 0.9365
0.9391 0.9391 0.6187
0.6135 0.6135 0.2739
0.9957 0.9957 0.9950
0.6656 0.6656 0.6701
0.3367 0.3367 0.3391
```

- formation energy (eV/atom) = -0.024
- SG = No. 8
- energy above the lowest structure with this stoichiometry (meV per atom) = 123
- density of states at the Fermi level (states/eV per cell) = 6.2